1.
ZnCd2Se | PBE-GGA | optimized geometry

Summary:
SG   Imm2 (44)
Uncorrected energy   -1.66 eV per atom
Energy relative to the elements, uncorrected   -0.009 eV/atom
Spin magnetization   0.000 Bohr magnetons per cell

```
data_ZnCd2Se
_chemical_formula_sum 'Zn1 Cd2 Se1'
_cell_length_a 5.568
_cell_length_b 5.568
_cell_length_c 5.568
_cell_angle_alpha 142.06
_cell_angle_beta 112.45
_cell_angle_gamma 80.18
_symmetry_space_group_name_H-M 'P 1'
_symmetry_Int_Tables_number 1
_symmetry_space_group_name_Hall 'P 1'
loop_
_atom_site_label
_atom_site_type_symbol
_atom_site_fract_x
_atom_site_fract_y
_atom_site_fract_z
Cd1 Cd 0.016 0.016 0.000
Cd2 Cd 0.738 0.238 0.500
Se1 Se 0.476 0.476 0.000
Zn1 Zn 0.271 0.771 0.500
```

2.
ErZr3Co8 | PBE-GGA | optimized geometry

Summary:
Energy relative to the elements   -0.283 eV/atom
SG   R3m (160)
Uncorrected energy   -7.54 eV per atom
Spin magnetization   4.687 Bohr magnetons per cell

```
data_ErZr3Co8
_chemical_formula_sum 'Er1 Zr3 Co8'
_cell_length_a 4.924
_cell_length_b 4.924
_cell_length_c 8.535
_cell_angle_alpha 73.23
_cell_angle_beta 73.23
_cell_angle_gamma 60.00
_symmetry_space_group_name_H-M 'P 1'
_symmetry_Int_Tables_number 1
_symmetry_space_group_name_Hall 'P 1'
loop_
_atom_site_label
_atom_site_type_symbol
_atom_site_fract_x
_atom_site_fract_y
_atom_site_fract_z
Co1 Co 0.438 0.438 0.183
Co2 Co 0.688 0.688 0.937
Co3 Co 0.187 0.187 0.438
Zr1 Zr 0.001 0.001 0.998
Co4 Co 0.438 0.941 0.183
Co5 Co 0.941 0.438 0.183
Er1 Er 0.875 0.875 0.376
Zr2 Zr 0.499 0.499 0.502
Co6 Co 0.937 0.937 0.692
Co7 Co 0.937 0.435 0.692
Co8 Co 0.435 0.937 0.692
Zr3 Zr 0.375 0.375 0.874
```

3.
Li2ZnRu | PBE-GGA | optimized geometry

Summary:
Energy relative to the elements   0.069 eV/atom
SG   P4mm (99)
Uncorrected energy   -3.53 eV per atom
Spin magnetization   0.000 Bohr magnetons per cell

```
data_Li2ZnRu
_chemical_formula_sum 'Li2 Zn1 Ru1'
_cell_length_a 2.636
_cell_length_b 2.636
_cell_length_c 8.592
_cell_angle_alpha 90.00
_cell_angle_beta 90.00
_cell_angle_gamma 90.00
_symmetry_space_group_name_H-M 'P 1'
_symmetry_Int_Tables_number 1
_symmetry_space_group_name_Hall 'P 1'
loop_
_atom_site_label
_atom_site_type_symbol
_atom_site_fract_x
_atom_site_fract_y
_atom_site_fract_z
Li1 Li 0.500 0.500 0.273
Zn1 Zn 0.500 0.500 0.741
Ru1 Ru 0.000 0.000 0.509
Li2 Li 0.000 0.000 0.977
```

4.
K2Ga2Si | PBE-GGA | optimized geometry

Summary:
SG   P4/mbm (127)
Uncorrected energy   -2.64 eV per atom
Energy relative to the elements, uncorrected   0.096 eV/atom
Spin magnetization   0.000 Bohr magnetons per cell

```
data_K2Ga2Si
_chemical_formula_sum 'K4 Ga4 Si2'
_cell_length_a 6.797
_cell_length_b 6.797
_cell_length_c 5.760
_cell_angle_alpha 90.00
_cell_angle_beta 90.00
_cell_angle_gamma 90.00
_symmetry_space_group_name_H-M 'P 1'
_symmetry_Int_Tables_number 1
_symmetry_space_group_name_Hall 'P 1'
loop_
_atom_site_label
_atom_site_type_symbol
_atom_site_fract_x
_atom_site_fract_y
_atom_site_fract_z
Si1 Si 0.500 0.500 0.000
K1 K 0.688 0.812 0.500
K2 K 0.312 0.188 0.500
Ga1 Ga 0.867 0.633 0.000
Ga2 Ga 0.133 0.367 0.000
K3 K 0.812 0.312 0.500
Ga3 Ga 0.633 0.133 0.000
Si2 Si 0.000 0.000 0.000
K4 K 0.188 0.688 0.500
Ga4 Ga 0.367 0.867 0.000
```

5.
CePuC4 | PBE-GGA | optimized geometry

Summary:
Energy relative to the elements   -0.060 eV/atom
SG   P4/mmm (123)
Uncorrected energy   -9.59 eV per atom
Spin magnetization   4.567 Bohr magnetons per cell

```
data_CePuC4
_chemical_formula_sum 'Ce1 Pu1 C4'
_cell_length_a 3.715
_cell_length_b 3.716
_cell_length_c 6.247
_cell_angle_alpha 90.05
_cell_angle_beta 90.00
_cell_angle_gamma 90.00
_symmetry_space_group_name_H-M 'P 1'
_symmetry_Int_Tables_number 1
_symmetry_space_group_name_Hall 'P 1'
loop_
_atom_site_label
_atom_site_type_symbol
_atom_site_fract_x
_atom_site_fract_y
_atom_site_fract_z
C1 C 0.000 0.000 0.395
C2 C 0.000 0.000 0.605
Pu1 Pu 0.500 0.500 0.500
C3 C 0.500 0.500 0.106
Ce1 Ce 0.000 0.000 0.000
C4 C 0.500 0.500 0.894
```

6.
Rb3HgN | PBE-GGA | optimized geometry

Summary:
SG   Pm-3m (221)
Uncorrected energy   -1.95 eV per atom
Energy relative to the elements, uncorrected   0.357 eV/atom
Spin magnetization   1.234 Bohr magnetons per cell

```
data_Rb3HgN
_chemical_formula_sum 'Rb3 Hg1 N1'
_cell_length_a 5.902
_cell_length_b 5.902
_cell_length_c 5.902
_cell_angle_alpha 90.00
_cell_angle_beta 90.00
_cell_angle_gamma 90.00
_symmetry_space_group_name_H-M 'P 1'
_symmetry_Int_Tables_number 1
_symmetry_space_group_name_Hall 'P 1'
loop_
_atom_site_label
_atom_site_type_symbol
_atom_site_fract_x
_atom_site_fract_y
_atom_site_fract_z
Rb1 Rb 0.500 0.000 0.000
N1 N 0.000 0.000 0.000
Hg1 Hg 0.500 0.500 0.500
Rb2 Rb 0.000 0.500 0.000
Rb3 Rb 0.000 0.000 0.500
```

7.
Ca3Cd4Ag4 | PBE-GGA | optimized geometry

Summary:
Energy relative to the elements   -0.227 eV/atom
SG   P-1 (2)
Uncorrected energy   -2.14 eV per atom
Spin magnetization   0.000 Bohr magnetons per cell

```
data_Ca3Cd4Ag4
_chemical_formula_sum 'Ca3 Cd4 Ag4'
_cell_length_a 5.712
_cell_length_b 3.653
_cell_length_c 13.612
_cell_angle_alpha 74.43
_cell_angle_beta 105.72
_cell_angle_gamma 108.62
_symmetry_space_group_name_H-M 'P 1'
_symmetry_Int_Tables_number 1
_symmetry_space_group_name_Hall 'P 1'
loop_
_atom_site_label
_atom_site_type_symbol
_atom_site_fract_x
_atom_site_fract_y
_atom_site_fract_z
Cd1 Cd 0.895 0.258 0.189
Cd2 Cd 0.105 0.742 0.811
Ag1 Ag 0.522 0.349 0.913
Ag2 Ag 0.135 0.433 0.635
Ca1 Ca 0.616 0.084 0.725
Cd3 Cd 0.728 0.839 0.526
Ag3 Ag 0.865 0.567 0.365
Ca2 Ca 0.000 0.000 0.000
Ag4 Ag 0.478 0.651 0.087
Cd4 Cd 0.272 0.161 0.474
Ca3 Ca 0.384 0.916 0.275
```

8.
BiP2Cl | PBE-GGA | optimized geometry

Summary:
SG   I-42d (122)
Uncorrected energy   -3.49 eV per atom
Energy relative to the elements, uncorrected   0.642 eV/atom
Spin magnetization   0.000 Bohr magnetons per cell

```
data_BiP2Cl
_chemical_formula_sum 'Bi2 P4 Cl2'
_cell_length_a 7.088
_cell_length_b 7.088
_cell_length_c 6.598
_cell_angle_alpha 57.51
_cell_angle_beta 57.51
_cell_angle_gamma 90.00
_symmetry_space_group_name_H-M 'P 1'
_symmetry_Int_Tables_number 1
_symmetry_space_group_name_Hall 'P 1'
loop_
_atom_site_label
_atom_site_type_symbol
_atom_site_fract_x
_atom_site_fract_y
_atom_site_fract_z
P1 P 0.375 0.372 0.750
P2 P 0.875 0.878 0.750
Bi1 Bi 0.750 0.250 0.500
Bi2 Bi 0.000 0.000 0.000
P3 P 0.628 0.125 0.250
Cl1 Cl 0.250 0.750 0.500
Cl2 Cl 0.500 0.500 0.000
P4 P 0.122 0.625 0.250
```

9.
LiFe2Br | PBE-GGA | optimized geometry

Summary:
SG   P4mm (99)
Uncorrected energy   -5.08 eV per atom
Energy relative to the elements, uncorrected   0.051 eV/atom
Spin magnetization   5.739 Bohr magnetons per cell

```
data_LiFe2Br
_chemical_formula_sum 'Li1 Fe2 Br1'
_cell_length_a 3.244
_cell_length_b 3.244
_cell_length_c 6.437
_cell_angle_alpha 90.00
_cell_angle_beta 90.00
_cell_angle_gamma 90.00
_symmetry_space_group_name_H-M 'P 1'
_symmetry_Int_Tables_number 1
_symmetry_space_group_name_Hall 'P 1'
loop_
_atom_site_label
_atom_site_type_symbol
_atom_site_fract_x
_atom_site_fract_y
_atom_site_fract_z
Fe1 Fe 0.500 0.500 0.243
Br1 Br 0.500 0.500 0.659
Li1 Li 0.000 0.000 0.508
Fe2 Fe 0.000 0.000 0.090
```

10.
Nd7Tl5Cd | PBE-GGA | optimized geometry

Summary:
Energy relative to the elements   -0.187 eV/atom
SG   Imm2 (44)
Uncorrected energy   -3.73 eV per atom
Spin magnetization   0.000 Bohr magnetons per cell

```
data_Nd7Tl5Cd
_chemical_formula_sum 'Nd7 Tl5 Cd1'
_cell_length_a 6.840
_cell_length_b 8.467
_cell_length_c 8.467
_cell_angle_alpha 79.38
_cell_angle_beta 66.18
_cell_angle_gamma 66.18
_symmetry_space_group_name_H-M 'P 1'
_symmetry_Int_Tables_number 1
_symmetry_space_group_name_Hall 'P 1'
loop_
_atom_site_label
_atom_site_type_symbol
_atom_site_fract_x
_atom_site_fract_y
_atom_site_fract_z
Tl1 Tl 0.771 0.729 0.729
Nd1 Nd 0.526 0.150 0.799
Nd2 Nd 0.254 0.746 0.746
Tl2 Tl 0.005 0.998 0.473
Tl3 Tl 0.524 0.473 0.998
Nd3 Nd 0.615 0.385 0.385
Nd4 Nd 0.526 0.799 0.150
Nd5 Nd 0.284 0.216 0.216
Tl4 Tl 0.524 0.998 0.473
Nd6 Nd 0.009 0.674 0.308
Cd1 Cd 0.950 0.050 0.050
Nd7 Nd 0.009 0.308 0.674
Tl5 Tl 0.005 0.473 0.998
```

11.
ScZn9Cu2 | PBE-GGA | optimized geometry

Summary:
Energy relative to the elements   -0.123 eV/atom
SG   P6/mmm (191)
Uncorrected energy   -2.29 eV per atom
Spin magnetization   0.000 Bohr magnetons per cell

```
data_ScZn9Cu2
_chemical_formula_sum 'Sc1 Zn9 Cu2'
_cell_length_a 2.926
_cell_length_b 8.449
_cell_length_c 8.449
_cell_angle_alpha 120.00
_cell_angle_beta 90.00
_cell_angle_gamma 90.00
_symmetry_space_group_name_H-M 'P 1'
_symmetry_Int_Tables_number 1
_symmetry_space_group_name_Hall 'P 1'
loop_
_atom_site_label
_atom_site_type_symbol
_atom_site_fract_x
_atom_site_fract_y
_atom_site_fract_z
Zn1 Zn 0.000 0.500 0.000
Zn2 Zn 0.500 0.364 0.182
Sc1 Sc 0.000 0.000 0.000
Zn3 Zn 0.500 0.818 0.636
Zn4 Zn 0.500 0.818 0.182
Zn5 Zn 0.000 0.000 0.500
Zn6 Zn 0.500 0.636 0.818
Cu1 Cu 0.000 0.333 0.667
Cu2 Cu 0.000 0.667 0.333
Zn7 Zn 0.000 0.500 0.500
Zn8 Zn 0.500 0.182 0.364
Zn9 Zn 0.500 0.182 0.818
```

12.
Y2PuSc | PBE-GGA | optimized geometry

Summary:
Energy relative to the elements   0.163 eV/atom
SG   P4/mmm (123)
Uncorrected energy   -8.23 eV per atom
Spin magnetization   6.383 Bohr magnetons per cell

```
data_Y2PuSc
_chemical_formula_sum 'Y2 Pu1 Sc1'
_cell_length_a 4.893
_cell_length_b 4.870
_cell_length_c 4.870
_cell_angle_alpha 90.00
_cell_angle_beta 90.00
_cell_angle_gamma 90.00
_symmetry_space_group_name_H-M 'P 1'
_symmetry_Int_Tables_number 1
_symmetry_space_group_name_Hall 'P 1'
loop_
_atom_site_label
_atom_site_type_symbol
_atom_site_fract_x
_atom_site_fract_y
_atom_site_fract_z
Y1 Y 0.000 0.500 0.000
Y2 Y 0.000 0.000 0.500
Sc1 Sc 0.500 0.500 0.500
Pu1 Pu 0.500 0.000 0.000
```